Cs2BaMnO4 | PBE with a Hubbard U | relaxed

The structure in POSCAR format:
```
Cs2BaMnO4
1.0
0.000 6.333 13.199
3.273 0.000 13.199
3.273 6.333 0.000
Cs Ba Mn O
4 2 2 8
direct
0.073 0.073 0.677 Cs
0.323 0.323 0.927 Cs
0.677 0.677 0.073 Cs
0.927 0.927 0.323 Cs
0.125 0.125 0.125 Ba
0.875 0.875 0.875 Ba
0.375 0.375 0.375 Mn
0.625 0.625 0.625 Mn
0.074 0.612 0.501 O
0.312 0.501 0.612 O
0.388 0.926 0.688 O
0.499 0.688 0.926 O
0.501 0.312 0.074 O
0.612 0.074 0.312 O
0.688 0.499 0.388 O
0.926 0.388 0.499 O
```

Total DFT energy (no corrections) ... -5.275 eV/atom
Magnetization ... 6.00 μB/cell